1.
First-principles (PBE) data for a relaxed structure of GaSiHAuS, as listed in the Alexandria database.

Calculated values
volume	18.54	A^3/atom
density	5.9	Mg/m³
energy relative to the lowest polymorph listed for this composition	0.38	eV/f.u.

Lattice parameters (Å, degrees): 3.9233 4.6558 5.3638 77.39 78.17 79.81
With the nearest neighbours (Å) after each atom.
Fractional coordinates of all 5 atoms:
Ga (0.0000, 0.0000, 0.0000)  2 S 2.56-2.67, 2 Au 2.70-2.73
Si (0.4610, 0.3947, 0.4057)  1 H 1.57
H (0.3041, 0.6616, 0.5479)  1 Si 1.57
Au (0.0019, 0.0866, 0.4861)  1 H 2.12
S (0.5593, 0.6211, 0.0100)  1 Si 2.14

***

2.
First-principles (PBE) data for a relaxed structure of ScGaHAu2, as listed in the Alexandria database.

Calculated values
volume	15.60	A^3/atom
density	10.9	Mg/m³
total energy	-20.6	eV/f.u.

Lattice parameters (Å, degrees): 4.4641 4.4641 3.9130 90.00 90.00 90.00
With the nearest neighbours (Å) after each atom.
Fractional coordinates of all 5 atoms:
Sc (0.0000, 0.0000, 0.0000)  2 H 1.96
Ga (0.5000, 0.5000, 0.0000)  8 Au 2.97, 4 Sc 3.16
H (0.0000, 0.0000, 0.5000)  2 Sc 1.96
Au (0.0000, 0.5000, 0.5000)  2 H 2.23
Au (0.5000, 0.0000, 0.5000)  2 H 2.23

***

3.
First-principles (PBE) data for a relaxed structure of Sr3Ga2H2Au4, as listed in the Alexandria database.

Calculated values
volume	24.93	A^3/atom
density	7.2	Mg/m³
total energy	-35.1	eV/f.u.

Lattice parameters (Å, degrees): 11.5470 11.5470 11.5470 155.02 155.02 35.62
With the nearest neighbours (Å) after each atom.
Fractional coordinates of all 11 atoms:
Sr (0.0000, 0.0000, 0.0000)  8 Au 3.27
Sr (0.1829, 0.1829, 0.0000)  1 H 2.44
Sr (0.8171, 0.8171, 0.0000)  1 H 2.44
Ga (0.3750, 0.3750, 0.0000)  1 H 1.78
Ga (0.6250, 0.6250, 0.0000)  1 H 1.78
H (0.2941, 0.2941, 0.0000)  1 Ga 1.78
H (0.7059, 0.7059, 0.0000)  1 Ga 1.78
Au (0.0958, 0.5958, 0.5000)  2 Ga 2.58
Au (0.4042, 0.9042, 0.5000)  2 Ga 2.58
Au (0.5958, 0.0958, 0.5000)  2 Ga 2.58
Au (0.9042, 0.4042, 0.5000)  2 Ga 2.58

***

4.
First-principles (PBE) data for a relaxed structure of Sr2GaHAu, as listed in the Alexandria database.

Calculated values
volume	23.43	A^3/atom
density	6.3	Mg/m³
total energy	-15.3	eV/f.u.

Lattice parameters (Å, degrees): 5.4794 5.4794 3.9025 90.00 90.00 90.00
With the nearest neighbours (Å) after each atom.
Fractional coordinates of all 5 atoms:
Sr (0.0000, 0.5000, 0.0000)  2 H 2.74
Sr (0.5000, 0.0000, 0.0000)  2 H 2.74
Ga (0.0000, 0.0000, 0.5000)  8 Sr 3.36
H (0.5000, 0.5000, 0.0000)  2 Au 1.95
Au (0.5000, 0.5000, 0.5000)  2 H 1.95

***

5.
First-principles (PBE) data for a relaxed structure of Ga2TeHAu, as listed in the Alexandria database.

Calculated values
volume	19.72	A^3/atom
density	7.8	Mg/m³
total energy	-15.8	eV/f.u.

Lattice parameters (Å, degrees): 5.1876 5.1876 3.6634 90.00 90.00 90.00
With the nearest neighbours (Å) after each atom.
Fractional coordinates of all 5 atoms:
Ga (0.0000, 0.5000, 0.0000)  2 Au 2.59
Ga (0.5000, 0.0000, 0.0000)  2 Au 2.59
Te (0.0000, 0.0000, 0.5000)  8 Ga 3.18
H (0.5000, 0.5000, 0.5000)  2 Au 1.83
Au (0.5000, 0.5000, 0.0000)  2 H 1.83

***

6.
First-principles (PBE) data for a relaxed structure of Ti2GaHAu, as listed in the Alexandria database.

Calculated values
volume	13.53	A^3/atom
density	8.9	Mg/m³
energy relative to the lowest polymorph listed for this composition	0.00	eV/f.u.

Lattice parameters (Å, degrees): 4.0177 4.0177 4.1896 90.00 90.00 90.00
With the nearest neighbours (Å) after each atom.
Fractional coordinates of all 5 atoms:
Ti (0.0000, 0.5000, 0.0000)  2 H 2.01
Ti (0.5000, 0.0000, 0.0000)  2 H 2.01
Ga (0.0000, 0.0000, 0.5000)  4 Au 2.84, 8 Ti 2.90
H (0.5000, 0.5000, 0.0000)  4 Ti 2.01, 2 Au 2.09
Au (0.5000, 0.5000, 0.5000)  2 H 2.09

***

> Number 3 is which compound?

Sr3Ga2H2Au4

***

> The lowest volume belongs to which entry?

Ti2GaHAu

***

> The highest density belongs to which entry?

ScGaHAu2